Record 1
## UNbTc (PBE-GGA)

Data for crystalline UNbTc at its relaxed geometry.

Cell: 6.243 6.243 6.243 Å, 90.00 90.00 90.00°
Space group F-43m (No. 216)
Asymmetric unit:
U: 0.000 0.000 0.000
Nb: 0.250 0.250 0.750
Tc: 0.250 0.250 0.250

Output
polymorph energy (0 for the lowest one)	0.127	eV/atom
energy relative to the elements	213	kJ/mol of formula units
theoretical density	11.71	g/cm³

Record 2
## HoSi2IrAu (PBE-GGA)

Data for crystalline HoSi2IrAu at its relaxed geometry.

Cell: 4.166 4.166 10.065 Å, 90.00 90.00 90.00°
Space group I-4m2 (No. 119)
Asymmetric unit:
Ho: 0.000 0.000 0.000
Si: 0.000 0.000 0.385
Ir: 0.000 0.500 0.250
Au: 0.000 0.500 0.750

Output
calculated total energy	-6.194	eV per atom
theoretical density	11.60	g/cm³

Record 3
## CdS (PBE-GGA)

Data for crystalline CdS at its relaxed geometry.

Cell: 3.890 5.475 3.850 Å, 90.00 90.00 90.00°
Space group Pmmn (No. 59, origin choice 2)
Asymmetric unit:
Cd: 0.250 0.250 0.240
S: 0.250 0.750 0.259

Output
calculated total energy	-3.026	eV per atom
theoretical density	5.85	g/cm³

Q: The lowest theoretical density belongs to which entry?
A: CdS